# 1
Density functional theory data (PBE) for a geometry-optimized Mg2InNi3 structure.

Cell: 5.0799 5.0799 5.0799 Å, 60.21 60.21 60.21°
Positions (direct):
Mg 0.1173 0.1173 0.1173
Mg 0.8827 0.8827 0.8827
In 0.5000 0.5000 0.5000
Ni 0.0000 0.5000 0.5000
Ni 0.5000 0.0000 0.5000
Ni 0.5000 0.5000 0.0000

---

# 2
Density functional theory data (PBE) for a geometry-optimized Mg3InNi structure.

Calculated values
E above lowest polymorph in meV per atom: 24

Cell: 6.5112 6.5112 7.0045 Å, 121.39 121.39 74.24°
Positions (direct):
Mg 0.0509 0.0509 0.2546
Mg 0.0849 0.4596 0.8242
Mg 0.4596 0.0849 0.8242
Mg 0.5404 0.9151 0.1758
Mg 0.9151 0.5404 0.1758
Mg 0.9491 0.9491 0.7454
In 0.4207 0.4207 0.6212
In 0.5793 0.5793 0.3788
Ni 0.2597 0.2597 0.1313
Ni 0.7403 0.7403 0.8687

---

# 3
Density functional theory data (PBE) for a geometry-optimized Mg7In2Ni2 structure.

Cell: 7.3341 7.3341 4.5375 Å, 107.86 107.86 74.08°
Positions (direct):
Mg 0.0000 0.0000 0.0000
Mg 0.1309 0.5856 0.8580
Mg 0.1541 0.1541 0.6530
Mg 0.4144 0.8691 0.1420
Mg 0.5856 0.1309 0.8580
Mg 0.8459 0.8459 0.3470
Mg 0.8691 0.4144 0.1420
In 0.3559 0.3559 0.3554
In 0.6441 0.6441 0.6446
Ni 0.2372 0.7628 0.5000
Ni 0.7628 0.2372 0.5000

---

# 4
Density functional theory data (PBE) for a geometry-optimized Mg5InNi6 structure.

Cell: 4.3166 6.1677 6.7913 Å, 90.00 107.55 90.00°
Positions (direct):
Mg 0.0000 0.0000 0.0000
Mg 0.3319 0.5000 0.6637
Mg 0.3326 0.0000 0.6653
Mg 0.6674 0.0000 0.3347
Mg 0.6681 0.5000 0.3363
In 0.0000 0.5000 0.0000
Ni 0.1671 0.2488 0.3341
Ni 0.1671 0.7512 0.3341
Ni 0.5000 0.2458 0.0000
Ni 0.5000 0.7542 0.0000
Ni 0.8329 0.2488 0.6659
Ni 0.8329 0.7512 0.6659

---

no.,ΔE_f (meV per atom)
1,-154
2,-68
3,-81
4,-165